Density functional theory data (meta-GGA SCAN) for a PBEsol-optimized structure of RuCl.

a = 6.1819 Å, b = 6.1819 Å, c = 6.1819 Å
α = 90.00°, β = 90.00°, γ = 90.00°
Space group Fd-3m (No. 227, origin choice 2)
Symmetry-distinct sites (fractional):
Ru1 0.1250 0.1250 0.1250 x8
Cl1 0.1250 0.1250 0.6250 x8

Values from the calculation:
Total moment   0.846 μB per formula unit
Raw formation energy   944 meV per atom
Total DFT energy (no corrections)   -327.33 eV/cell
E above lowest polymorph   347 meV/atom